# Sr3Fe2RuO9 (GGA+U, optimized geometry)
# N(E_F) = 0.323 states/eV/atom
# excess energy over the best structure of this formula in the dataset = 23.6 meV per atom
# VASP energy = -6.586 eV per atom
data_Sr3Fe2RuO9
_chemical_formula_sum 'Sr3 Fe2 Ru1 O9'
_space_group_name_H-M_alt 'P 4/m m m'
_space_group_IT_number 123
_space_group_name_Hall '-P 4 2'
_cell_length_a 3.930
_cell_length_b 3.930
_cell_length_c 12.116
_cell_angle_alpha 90.00
_cell_angle_beta 90.00
_cell_angle_gamma 90.00
loop_
_atom_site_label
_atom_site_type_symbol
_atom_site_fract_x
_atom_site_fract_y
_atom_site_fract_z
Sr1 Sr 0.000 0.000 0.000
Sr2 Sr 0.000 0.000 0.317
Fe1 Fe 0.500 0.500 0.161
Ru1 Ru 0.500 0.500 0.500
O1 O 0.000 0.500 0.171
O2 O 0.000 0.500 0.500
O3 O 0.500 0.500 0.000
O4 O 0.500 0.500 0.341